No. 1
A relaxed structure of Hf3ScS. Source: Alexandria, functional PBE.

Cell lengths 5.0263, 5.0263, 5.0263 Å; angles 90.00, 90.00, 90.00 degrees
Element x y z (fractional)
Sc 0.0000 0.0000 0.0000
S 0.5000 0.5000 0.5000
Hf 0.0000 0.5000 0.0000
Hf 0.0000 0.0000 0.5000
Hf 0.5000 0.0000 0.0000

The space-group type is Pm-3m. For the raw formation energy, the calculation gives 1369 meV per atom. Its density of states at the Fermi level is 8.04 states/eV/f.u.

No. 2
A relaxed structure of Sm5Y12In2. Source: Alexandria, functional PBE.

Cell lengths 9.4565, 12.1598, 8.3867 Å; angles 131.99, 90.00, 112.88 degrees
Element x y z (fractional)
Sm 0.3082 0.6164 0.6270
Sm 0.2333 0.4666 0.8894
Sm 0.0000 0.0000 0.5000
Sm 0.7667 0.5334 0.1106
Sm 0.6918 0.3836 0.3730
Y 0.0787 0.1574 0.2789
Y 0.0379 0.7085 0.9404
Y 0.6706 0.7085 0.9404
Y 0.1792 0.7473 0.4140
Y 0.5681 0.7473 0.4140
Y 0.5535 0.1070 0.7853
Y 0.4465 0.8930 0.2147
Y 0.8208 0.2527 0.5860
Y 0.4319 0.2527 0.5860
Y 0.9621 0.2915 0.0596
Y 0.3294 0.2915 0.0596
Y 0.9213 0.8426 0.7211
In 0.6807 0.0000 0.0000
In 0.3193 0.0000 0.0000

The formation energy from the elements is -19 meV/atom. The space-group type is C2/m. Its density of states at the Fermi level is 28.91 states/eV/f.u.

No. 3
A relaxed structure of MnTe2Pt. Source: Alexandria, functional PBE.

Cell lengths 5.9432, 5.9432, 7.1301 Å; angles 65.37, 65.37, 90.00 degrees
Element x y z (fractional)
Mn 0.5000 0.5000 0.0000
Mn 0.2500 0.7500 0.5000
Te 0.6014 0.1250 0.2500
Te 0.1485 0.6250 0.2500
Te 0.3750 0.3986 0.7500
Te 0.8750 0.8514 0.7500
Pt 0.0000 0.0000 0.0000
Pt 0.7500 0.2500 0.5000

The space-group type is I-42d. For the raw formation energy, the calculation gives 185 meV per atom. Its density of states at the Fermi level is 5.33 states/eV/f.u.

No. 4
A relaxed structure of Mo2AsW. Source: Alexandria, functional PBE.

Cell lengths 5.2453, 5.2453, 5.2453 Å; angles 144.06, 132.28, 61.15 degrees
Element x y z (fractional)
Mo 0.0036 0.0036 0.0000
Mo 0.4964 0.4964 0.0000
As 0.2500 0.7500 0.5000
W 0.7500 0.2500 0.5000

The formation energy from the elements is 145 meV/atom. The space-group type is Immm. Its density of states at the Fermi level is 2.37 states/eV/f.u.

No. 5
A relaxed structure of Fe2TcPt. Source: Alexandria, functional PBE.

Cell lengths 3.9534, 2.6449, 5.4779 Å; angles 70.25, 90.00, 90.00 degrees
Site moments in Bohr magnetons follow the coordinates.
Element x y z (fractional)
Fe 0.0000 0.0409 0.0022  2.26
Fe 0.5000 0.1908 0.2373  2.56
Pt 0.0000 0.4728 0.4935  0.12
Tc 0.5000 0.7955 0.7670  -0.20

The formation energy from the elements is 2 meV/atom. The space-group type is Pm. Its density of states at the Fermi level is 4.24 states/eV/f.u.

No. 6
A relaxed structure of Tb4Mg3Tc. Source: Alexandria, functional PBE.

Cell lengths 3.5852, 3.5852, 16.0239 Å; angles 90.00, 90.00, 90.00 degrees
Element x y z (fractional)
Mg 0.5000 0.5000 0.2399
Mg 0.5000 0.5000 0.5000
Mg 0.5000 0.5000 0.7601
Tb 0.0000 0.0000 0.9000
Tb 0.0000 0.0000 0.1000
Tb 0.0000 0.0000 0.3718
Tb 0.0000 0.0000 0.6282
Tc 0.5000 0.5000 0.0000

The formation energy from the elements is -65 meV/atom. The space-group type is P4/mmm. Its density of states at the Fermi level is 8.47 states/eV/f.u.